Entry 1:
Cu4SeSCl2, optimized geometry, DFT PBE; mass density = 4.5 g/cm³; spin magnetization = 0.00 μB per formula unit; formation energy (no corrections) = -28 kJ/mol of atoms; space-group type = No. 82
1.0
-2.721 2.721 5.408
2.721 -2.721 5.408
2.721 2.721 -5.408
Cu Se S Cl
4 1 1 2
direct
0.142 0.156 0.538
0.395 0.858 0.013
0.618 0.605 0.462
0.844 0.382 0.987
0.750 0.250 0.500
0.500 0.500 0.000
0.000 0.000 0.000
0.250 0.750 0.500



Entry 2:
CuSeS2Cl, optimized geometry, DFT PBE; mass density = 4.2 g/cm³; spin magnetization = 0.00 μB per formula unit; formation energy (no corrections) = 52 kJ/mol of atoms; energy relative to the lowest polymorph listed for this composition = 0.0 meV/atom; space-group type = No. 123
1.0
4.642 0.000 0.000
0.000 4.642 0.000
0.000 0.000 4.427
Cu Se S Cl
1 1 2 1
direct
0.000 0.000 0.000
0.500 0.500 0.500
0.000 0.500 0.000
0.500 0.000 0.000
0.000 0.000 0.500



Entry 3:
CuSeSCl, optimized geometry, DFT PBE; mass density = 3.5 g/cm³; spin magnetization = 0.00 μB per formula unit; formation energy (no corrections) = -8 kJ/mol of atoms; space-group type = No. 8
1.0
3.402 -1.929 0.000
3.402 1.929 0.000
-2.865 0.000 7.506
Cu Se S Cl
1 1 1 1
direct
0.000 0.000 0.000
0.653 0.653 0.450
0.073 0.073 0.291
0.281 0.281 0.896



Entry 4:
Cu6SeS2Cl2, optimized geometry, DFT PBE; mass density = 4.0 g/cm³; spin magnetization = 0.00 μB per formula unit; formation energy (no corrections) = -15 kJ/mol of atoms; space-group type = No. 12
1.0
3.524 -5.466 0.000
3.524 5.466 0.000
-3.218 0.000 6.398
Cu Se S Cl
6 1 2 2
direct
0.072 0.710 0.671
0.290 0.928 0.329
0.340 0.340 0.520
0.660 0.660 0.480
0.710 0.072 0.671
0.928 0.290 0.329
0.000 0.000 0.500
0.322 0.678 0.500
0.678 0.322 0.500
0.244 0.756 0.000
0.756 0.244 0.000



Entry 5:
CuSnS2Cl, optimized geometry, DFT PBE; mass density = 4.6 g/cm³; spin magnetization = 0.00 μB per formula unit; formation energy (no corrections) = -4 kJ/mol of atoms; energy relative to the lowest polymorph listed for this composition = 0.0 meV/atom; space-group type = No. 123
1.0
4.594 0.000 0.000
0.000 4.594 0.000
0.000 0.000 4.839
Cu Sn S Cl
1 1 2 1
direct
0.000 0.000 0.000
0.500 0.500 0.500
0.000 0.500 0.000
0.500 0.000 0.000
0.000 0.000 0.500



Entry 6:
CuSnS2Cl, optimized geometry, DFT PBE; mass density = 3.7 g/cm³; spin magnetization = 0.00 μB per formula unit; formation energy (no corrections) = 35 kJ/mol of atoms; energy relative to the lowest polymorph listed for this composition = 406.8 meV/atom; space-group type = No. 123
1.0
4.985 0.000 0.000
0.000 4.985 0.000
0.000 0.000 5.155
Cu Sn S Cl
1 1 2 1
direct
0.000 0.000 0.000
0.500 0.500 0.500
0.000 0.500 0.500
0.500 0.000 0.500
0.500 0.500 0.000



Entry 7:
TaCuSCl2, optimized geometry, DFT PBE; mass density = 5.2 g/cm³; spin magnetization = 0.00 μB per formula unit; formation energy (no corrections) = -9 kJ/mol of atoms; energy relative to the lowest polymorph listed for this composition = 0.0 meV/atom; space-group type = No. 123
1.0
4.829 0.000 0.000
0.000 4.829 0.000
0.000 0.000 4.795
Ta Cu S Cl
1 1 1 2
direct
0.000 0.000 0.000
0.500 0.500 0.500
0.000 0.000 0.500
0.000 0.500 0.000
0.500 0.000 0.000



Entry 8:
TaCuSCl2, optimized geometry, DFT PBE; mass density = 6.0 g/cm³; spin magnetization = 2.63 μB per formula unit; formation energy (no corrections) = 57 kJ/mol of atoms; energy relative to the lowest polymorph listed for this composition = 680.7 meV/atom; space-group type = No. 123
1.0
4.493 0.000 0.000
0.000 4.493 0.000
0.000 0.000 4.801
Ta Cu S Cl
1 1 1 2
direct
0.000 0.000 0.000
0.500 0.500 0.500
0.500 0.500 0.000
0.000 0.500 0.500
0.500 0.000 0.500



Entry 9:
Tb4CuS2Cl, optimized geometry, DFT PBE; mass density = 7.5 g/cm³; spin magnetization = 0.00 μB per formula unit; formation energy (no corrections) = -133 kJ/mol of atoms; space-group type = No. 10
1.0
6.962 0.000 0.000
0.000 3.853 0.000
-2.153 0.000 6.625
Tb Cu S Cl
4 1 2 1
direct
0.233 0.000 0.231
0.250 0.500 0.758
0.750 0.500 0.242
0.767 0.000 0.769
0.500 0.000 0.000
0.000 0.000 0.500
0.000 0.500 0.000
0.500 0.500 0.500



Entry 10:
CuTcSCl2, optimized geometry, DFT PBE; mass density = 4.0 g/cm³; spin magnetization = 0.69 μB per formula unit; formation energy (no corrections) = 25 kJ/mol of atoms; energy relative to the lowest polymorph listed for this composition = 0.0 meV/atom; space-group type = No. 123
1.0
4.951 0.000 0.000
0.000 4.951 0.000
0.000 0.000 4.441
Cu Tc S Cl
1 1 1 2
direct
0.000 0.000 0.000
0.500 0.500 0.500
0.500 0.500 0.000
0.000 0.500 0.500
0.500 0.000 0.500



Entry 11:
CuTcSCl2, optimized geometry, DFT PBE; mass density = 4.3 g/cm³; spin magnetization = 5.01 μB per formula unit; formation energy (no corrections) = 50 kJ/mol of atoms; energy relative to the lowest polymorph listed for this composition = 253.6 meV/atom; space-group type = No. 123
1.0
4.584 0.000 0.000
0.000 4.584 0.000
0.000 0.000 4.861
Cu Tc S Cl
1 1 1 2
direct
0.000 0.000 0.000
0.500 0.500 0.500
0.000 0.000 0.500
0.000 0.500 0.000
0.500 0.000 0.000



Entry 12:
Cu3TeSCl, optimized geometry, DFT PBE; mass density = 4.7 g/cm³; spin magnetization = 0.00 μB per formula unit; formation energy (no corrections) = -9 kJ/mol of atoms; space-group type = No. 11
1.0
6.978 0.000 0.000
0.000 4.050 0.000
-2.313 0.000 9.690
Cu Te S Cl
6 2 2 2
direct
0.005 0.250 0.140
0.375 0.750 0.290
0.416 0.750 0.556
0.584 0.250 0.444
0.625 0.250 0.710
0.995 0.750 0.860
0.197 0.250 0.401
0.803 0.750 0.599
0.111 0.750 0.104
0.889 0.250 0.896
0.323 0.250 0.749
0.677 0.750 0.251